(1)
An optimized crystal structure of BeHgSb2I, computed with GGA-PBE.

a b c (Å): 4.9884 4.9884 5.5500
angles (deg): 90.00 90.00 90.00
With the nearest neighbours (Å) after each atom.
Element x y z (fractional)
Be 0.0000 0.0000 0.0000  4 Sb 2.49, 2 I 2.78
Hg 0.5000 0.5000 0.5000  4 I 3.53, 8 Sb 3.73
Sb 0.0000 0.5000 0.0000  2 Be 2.49
Sb 0.5000 0.0000 0.0000  2 Be 2.49
I 0.0000 0.0000 0.5000  2 Be 2.78

Formation energy without anion corrections   453 meV per atom
Fermi-level density of states   1.02 states/eV/atom
Energy above the most stable polymorph in this dataset   0.00 kcal/mol of atoms
Space group   P4/mmm
Spin magnetization   0.00 μB/atom

=====

(2)
An optimized crystal structure of BeHgSb2I, computed with GGA-PBE.

a b c (Å): 5.5991 5.5991 6.0731
angles (deg): 90.00 90.00 90.00
With the nearest neighbours (Å) after each atom.
Element x y z (fractional)
Be 0.0000 0.0000 0.0000  4 I 3.96, 8 Sb 4.13
Hg 0.5000 0.5000 0.5000  4 Sb 2.80, 2 I 3.04
Sb 0.0000 0.5000 0.5000  2 Hg 2.80
Sb 0.5000 0.0000 0.5000  2 Hg 2.80
I 0.5000 0.5000 0.0000  2 Hg 3.04

Formation energy without anion corrections   1211 meV per atom
Fermi-level density of states   1.03 states/eV/atom
Energy above the most stable polymorph in this dataset   17.47 kcal/mol of atoms
Space group   P4/mmm
Spin magnetization   0.28 μB/atom

=====

(3)
An optimized crystal structure of BeHgSbI2, computed with GGA-PBE.

a b c (Å): 5.4963 5.4963 4.9294
angles (deg): 90.00 90.00 90.00
With the nearest neighbours (Å) after each atom.
Element x y z (fractional)
Be 0.0000 0.0000 0.0000  2 Sb 2.46, 4 I 2.75
Hg 0.5000 0.5000 0.5000  8 I 3.69, 4 Sb 3.89
Sb 0.0000 0.0000 0.5000  2 Be 2.46
I 0.0000 0.5000 0.0000  2 Be 2.75
I 0.5000 0.0000 0.0000  2 Be 2.75

Formation energy without anion corrections   286 meV per atom
Fermi-level density of states   0.58 states/eV/atom
Energy above the most stable polymorph in this dataset   0.00 kcal/mol of atoms
Space group   P4/mmm
Spin magnetization   0.00 μB/atom

=====

(4)
An optimized crystal structure of BeHgW2I, computed with GGA-PBE.

a b c (Å): 5.1900 5.1900 4.1453
angles (deg): 90.00 90.00 90.00
With the nearest neighbours (Å) after each atom.
Element x y z (fractional)
Be 0.0000 0.0000 0.0000  2 Hg 2.07
Hg 0.0000 0.0000 0.5000  2 Be 2.07
W 0.0000 0.5000 0.5000  2 Hg 2.59
W 0.5000 0.0000 0.5000  2 Hg 2.59
I 0.5000 0.5000 0.0000  8 W 3.32, 4 Be 3.67

Formation energy without anion corrections   2317 meV per atom
Fermi-level density of states   1.13 states/eV/atom
Space group   P4/mmm
Spin magnetization   0.54 μB/atom

=====

(5)
An optimized crystal structure of BeInHg2, computed with GGA-PBE.

a b c (Å): 6.4670 6.4670 6.4670
angles (deg): 99.27 99.27 132.68
With the nearest neighbours (Å) after each atom.
Element x y z (fractional)
Be 0.0000 0.0000 0.0000  4 Hg 2.51, 2 In 2.60
Be 0.7500 0.2500 0.5000  4 Hg 2.51, 2 In 2.60
In 0.2500 0.7500 0.5000  2 Be 2.60
In 0.5000 0.5000 0.0000  2 Be 2.60
Hg 0.0220 0.1250 0.3970  2 Be 2.51
Hg 0.3750 0.9780 0.1030  2 Be 2.51
Hg 0.7280 0.6250 0.6030  2 Be 2.51
Hg 0.8750 0.2720 0.8970  2 Be 2.51

Formation energy   115 kJ/mol of formula units
Fermi-level density of states   0.45 states/eV/atom
Energy above the most stable polymorph in this dataset   1.38 kcal/mol of atoms
Space group   I-42d
Spin magnetization   0.00 μB/atom

=====

(6)
An optimized crystal structure of BeInHg2, computed with GGA-PBE.

a b c (Å): 4.7128 4.7128 6.6735
angles (deg): 107.99 107.99 38.65
With the nearest neighbours (Å) after each atom.
Element x y z (fractional)
Be 0.0000 0.0000 0.0000  5 Hg 2.48-2.59
In 0.3575 0.3575 0.6237  2 Be 2.87, 2 Hg 2.99-3.20, 2 In 3.12
Hg 0.5454 0.5454 0.3250  2 Be 2.59
Hg 0.7122 0.7122 0.9529  3 Be 2.48-2.55

Formation energy   92 kJ/mol of formula units
Fermi-level density of states   0.34 states/eV/atom
Energy above the most stable polymorph in this dataset   0.00 kcal/mol of atoms
Space group   Cm
Spin magnetization   0.00 μB/atom

=====

- Among the records above, which one has the lowest Fermi-level density of states?
  number 6